No. 1
CaTa2Pb PBE-GGA optimized geometry; total magnetic moment = 0.00 μB per formula unit; energy of formation from the pure elements = 1113 meV per atom; symmetry = No. 122
1.0
8.351 0.000 0.000
0.000 8.351 0.000
4.175 4.175 2.862
Pb Ca Ta
2 2 4
Cartesian
0.000 0.000 0.000 Pb
8.351 4.175 1.431 Pb
4.175 4.175 0.000 Ca
4.175 8.351 1.431 Ca
6.534 2.088 0.715 Ta
1.817 6.263 0.715 Ta
6.263 5.992 2.146 Ta
10.439 10.710 2.146 Ta



No. 2
LaH6Rh PBE-GGA optimized geometry; total magnetic moment = 0.00 μB per formula unit; E = -4.514 eV/atom; symmetry = No. 166
1.0
4.112 0.000 2.148
1.495 3.830 2.148
0.149 0.102 4.724
La H Rh
1 6 1
Cartesian
2.878 1.966 4.510 La
5.180 3.539 7.516 H
3.207 3.539 6.485 H
1.292 2.231 2.535 H
2.548 0.393 2.535 H
0.575 0.393 1.505 H
4.463 1.701 6.485 H
0.000 0.000 0.000 Rh